1.
Compound: CaBr3F
Source: Alexandria via LeMat-Bulk
Functional: PBE
Structure: relaxed

POSCAR file:
```
CaBr3F
1.0
-1.860 4.531 1.100
-3.595 -2.147 2.769
2.970 0.238 4.040
Ca Br F
1 3 1
Direct
0.500 0.500 0.500
0.000 0.500 0.000
0.000 0.000 0.500
0.500 0.000 0.000
0.000 0.000 0.000
```

***

2.
Compound: CaBrF2
Source: Alexandria via LeMat-Bulk
Functional: PBE
Structure: relaxed

POSCAR file:
```
CaBrF2
1.0
2.019 0.000 9.481
-1.010 1.749 9.481
-1.010 -1.749 9.481
Ca Br F
1 1 2
Direct
0.500 0.500 0.500
0.000 0.000 0.000
0.869 0.869 0.869
0.131 0.131 0.131
```

***

3.
Compound: CaBrF
Source: Alexandria via LeMat-Bulk
Functional: PBE
Structure: relaxed

POSCAR file:
```
CaBrF
1.0
4.602 0.000 0.000
2.301 3.986 0.000
2.301 1.329 3.758
Ca Br F
1 1 1
Direct
0.250 0.250 0.250
0.000 0.000 0.000
0.500 0.500 0.500
```

***

The evaluated raw formation energy for the records listed, in turn: -0.785; -2.650; -2.646 eV per atom.